Here is a geometry-optimized ReTcRh structure from Alexandria. Energies are from GGA-PBE.

## Properties
energy	-10.02	eV/atom

abc: 6.509 6.510 5.067
angles: 109.84 109.84 102.10
Fractional positions:
1 Re 0.015 0.393 0.754
2 Re 0.643 0.765 0.254
3 Re 0.563 0.170 0.245
4 Re 0.420 0.313 0.745
5 Tc 0.313 0.433 0.249
6 Tc 0.683 0.063 0.749
7 Tc 0.243 0.842 0.254
8 Tc 0.092 0.993 0.754
9 Rh 0.901 0.501 0.249
10 Rh 0.977 0.093 0.249
11 Rh 0.751 0.651 0.749
12 Rh 0.343 0.727 0.749

=====

Here is a geometry-optimized CaZn3In structure from Alexandria. Energies are from GGA-PBE.

## Properties
energy	-1.64	eV/atom

abc: 4.863 4.863 12.262
angles: 101.44 101.44 90.00
Fractional positions:
1 Ca 0.000 0.000 0.000
2 Ca 0.250 0.750 0.500
3 Zn 0.619 0.871 0.742
4 Zn 0.129 0.878 0.258
5 Zn 0.129 0.381 0.258
6 Zn 0.122 0.871 0.742
7 Zn 0.347 0.347 0.694
8 Zn 0.653 0.653 0.306
9 In 0.594 0.094 0.187
10 In 0.906 0.406 0.813

=====

Here is a geometry-optimized Sc2Te2H structure from Alexandria. Energies are from GGA-PBE.

## Properties
energy	-5.20	eV/atom

abc: 5.680 5.680 6.043
angles: 61.97 61.97 90.00
Fractional positions:
1 Sc 0.208 0.208 0.583
2 Sc 0.792 0.792 0.417
3 H 0.000 0.000 0.000
4 Te 0.750 0.250 0.500
5 Te 0.250 0.750 0.500

=====

Number 1 is which compound? ReTcRh